No. 1
Density functional theory data (PBE+U) for a relaxed structure of NiTeP2O9.

Cell: 13.9824 6.3925 7.9711 Å, 90.00 90.00 90.00°
Closest atoms and distances in Å follow each position.
Fractional coordinates of all 52 atoms:
Ni 0.0000 0.0000 0.0000  6 O 2.00-2.13
Ni 0.0000 0.5000 0.0000  6 O 2.00-2.13
Ni 0.5000 0.0000 0.5000  6 O 2.00-2.13
Ni 0.5000 0.5000 0.5000  6 O 2.00-2.13
Te 0.1207 0.2500 0.3447  6 O 1.85-1.99
Te 0.3793 0.7500 0.8447  6 O 1.85-1.99
Te 0.6207 0.2500 0.1553  6 O 1.85-1.99
Te 0.8793 0.7500 0.6553  6 O 1.85-1.99
P 0.0547 0.7500 0.3420  4 O 1.51-1.56
P 0.1915 0.7500 0.9211  4 O 1.50-1.67
P 0.3085 0.2500 0.4211  4 O 1.50-1.67
P 0.4453 0.2500 0.8420  4 O 1.51-1.56
P 0.5547 0.7500 0.1580  4 O 1.51-1.56
P 0.6915 0.7500 0.5789  4 O 1.50-1.67
P 0.8085 0.2500 0.0789  4 O 1.50-1.67
P 0.9453 0.2500 0.6580  4 O 1.51-1.56
O 0.0014 0.7500 0.1769  1 P 1.51
O 0.0107 0.2500 0.5007  1 P 1.55
O 0.0394 0.2500 0.1619  1 Te 1.85
O 0.1246 0.5607 0.3604  1 P 1.56
O 0.1246 0.9393 0.3604  1 P 1.56
O 0.1381 0.5484 0.9452  1 P 1.50
O 0.1381 0.9516 0.9452  1 P 1.50
O 0.2085 0.2500 0.5347  1 P 1.67
O 0.2483 0.2500 0.2428  1 P 1.65
O 0.2517 0.7500 0.7428  1 P 1.65
O 0.2915 0.7500 0.0347  1 P 1.67
O 0.3619 0.0484 0.4452  1 P 1.50
O 0.3619 0.4516 0.4452  1 P 1.50
O 0.3754 0.0607 0.8604  1 P 1.56
O 0.3754 0.4393 0.8604  1 P 1.56
O 0.4606 0.7500 0.6619  1 Te 1.85
O 0.4893 0.7500 0.0007  1 P 1.55
O 0.4986 0.2500 0.6769  1 P 1.51
O 0.5014 0.7500 0.3231  1 P 1.51
O 0.5107 0.2500 0.9993  1 P 1.55
O 0.5394 0.2500 0.3381  1 Te 1.85
O 0.6246 0.5607 0.1396  1 P 1.56
O 0.6246 0.9393 0.1396  1 P 1.56
O 0.6381 0.5484 0.5548  1 P 1.50
O 0.6381 0.9516 0.5548  1 P 1.50
O 0.7085 0.2500 0.9653  1 P 1.67
O 0.7483 0.2500 0.2572  1 P 1.65
O 0.7517 0.7500 0.7572  1 P 1.65
O 0.7915 0.7500 0.4653  1 P 1.67
O 0.8619 0.0484 0.0548  1 P 1.50
O 0.8619 0.4516 0.0548  1 P 1.50
O 0.8754 0.0607 0.6396  1 P 1.56
O 0.8754 0.4393 0.6396  1 P 1.56
O 0.9606 0.7500 0.8381  1 Te 1.85
O 0.9893 0.7500 0.4993  1 P 1.55
O 0.9986 0.2500 0.8231  1 P 1.51

Properties
Calculated total energy   -6.2617 eV per atom

=====

No. 2
Density functional theory data (PBE+U) for a relaxed structure of ThNiP2O8.

Cell: 5.1353 5.1353 6.7330 Å, 90.00 90.00 120.00°
Closest atoms and distances in Å follow each position.
Fractional coordinates of all 12 atoms:
Th 0.0000 0.0000 0.0000  6 O 2.46
Ni 0.0000 0.0000 0.5000  6 O 2.06
P 0.3333 0.6667 0.2220  4 O 1.54-1.55
P 0.6667 0.3333 0.7780  4 O 1.54-1.55
O 0.1677 0.3354 0.2897  1 P 1.54
O 0.1677 0.8323 0.2897  1 P 1.54
O 0.3333 0.6667 0.9915  1 P 1.55
O 0.3354 0.1677 0.7103  1 P 1.54
O 0.6646 0.8323 0.2897  1 P 1.54
O 0.6667 0.3333 0.0085  1 P 1.55
O 0.8323 0.1677 0.7103  1 P 1.54
O 0.8323 0.6646 0.7103  1 P 1.54

Properties
Calculated total energy   -7.5184 eV per atom

=====

No. 3
Density functional theory data (PBE+U) for a relaxed structure of TiNiPO2.

Cell: 3.7157 3.7157 5.3677 Å, 90.00 90.00 90.00°
Closest atoms and distances in Å follow each position.
Fractional coordinates of all 5 atoms:
Ti 0.0000 0.0000 0.0000  4 O 1.86
Ni 0.5000 0.5000 0.5000  4 P 2.63
P 0.0000 0.0000 0.5000  4 Ni 2.63, 2 Ti 2.68
O 0.0000 0.5000 0.0000  2 Ti 1.86
O 0.5000 0.0000 0.0000  2 Ti 1.86

Properties
Calculated total energy   -6.1884 eV per atom
Energy above the most stable polymorph in this dataset   0 meV per atom

=====

No. 4
Density functional theory data (PBE+U) for a relaxed structure of TiNi3P4O16.

Cell: 4.8421 5.8185 9.9332 Å, 90.00 90.70 90.00°
Closest atoms and distances in Å follow each position.
Fractional coordinates of all 24 atoms:
Ti 0.0000 0.0000 0.0000  6 O 1.90-2.07
Ni 0.4019 0.0000 0.4995  6 O 1.96-2.16
Ni 0.5082 0.5000 0.0475  4 O 1.96-2.11
Ni 0.9011 0.5000 0.5492  6 O 1.96-2.18
P 0.0377 0.5000 0.8662  4 O 1.52-1.59
P 0.3450 0.5000 0.3686  4 O 1.53-1.57
P 0.5754 0.0000 0.1815  4 O 1.50-1.58
P 0.8552 0.0000 0.6760  4 O 1.52-1.57
O 0.1221 0.5000 0.7187  1 P 1.53
O 0.1673 0.0000 0.6593  1 P 1.52
O 0.1807 0.2911 0.9440  1 P 1.59
O 0.1807 0.7089 0.9440  1 P 1.59
O 0.1976 0.2929 0.4392  1 P 1.57
O 0.1976 0.7071 0.4392  1 P 1.57
O 0.2666 0.0000 0.1419  1 P 1.54
O 0.2918 0.5000 0.2165  1 P 1.53
O 0.6210 0.0000 0.3312  1 P 1.50
O 0.6597 0.5000 0.3889  1 P 1.53
O 0.7018 0.2068 0.6082  1 P 1.56
O 0.7018 0.7932 0.6082  1 P 1.56
O 0.7269 0.2028 0.1060  1 P 1.58
O 0.7270 0.5000 0.8828  1 P 1.52
O 0.7269 0.7972 0.1060  1 P 1.58
O 0.8067 0.0000 0.8316  1 P 1.57

Properties
Calculated total energy   -6.7456 eV per atom

=====

No. 5
Density functional theory data (PBE+U) for a relaxed structure of Ti2NiP3O12.

Cell: 8.4896 8.4896 8.4896 Å, 61.27 61.27 61.27°
Closest atoms and distances in Å follow each position.
Fractional coordinates of all 36 atoms:
Ti 0.1441 0.1441 0.1441  6 O 1.92-2.08
Ti 0.3559 0.3559 0.3559  6 O 1.92-2.08
Ti 0.6441 0.6441 0.6441  6 O 1.92-2.08
Ti 0.8559 0.8559 0.8559  6 O 1.92-2.08
Ni 0.0000 0.0000 0.0000  6 O 2.15
Ni 0.5000 0.5000 0.5000  6 O 2.15
P 0.0462 0.7500 0.4538  4 O 1.54-1.56
P 0.2500 0.5462 0.9538  4 O 1.54-1.56
P 0.4538 0.0462 0.7500  4 O 1.54-1.56
P 0.5462 0.9538 0.2500  4 O 1.54-1.56
P 0.7500 0.4538 0.0462  4 O 1.54-1.56
P 0.9538 0.2500 0.5462  4 O 1.54-1.56
O 0.0005 0.8203 0.6120  1 P 1.54
O 0.0582 0.9088 0.2566  1 P 1.56
O 0.0912 0.7434 0.9418  1 P 1.56
O 0.1120 0.3203 0.5005  1 P 1.54
O 0.1797 0.3880 0.9995  1 P 1.54
O 0.2434 0.5912 0.4418  1 P 1.56
O 0.2566 0.0582 0.9088  1 P 1.56
O 0.3203 0.5005 0.1120  1 P 1.54
O 0.3880 0.9995 0.1797  1 P 1.54
O 0.4088 0.5582 0.7566  1 P 1.56
O 0.4418 0.2434 0.5912  1 P 1.56
O 0.4995 0.8880 0.6797  1 P 1.54
O 0.5005 0.1120 0.3203  1 P 1.54
O 0.5582 0.7566 0.4088  1 P 1.56
O 0.5912 0.4418 0.2434  1 P 1.56
O 0.6120 0.0005 0.8203  1 P 1.54
O 0.6797 0.4995 0.8880  1 P 1.54
O 0.7434 0.9418 0.0912  1 P 1.56
O 0.7566 0.4088 0.5582  1 P 1.56
O 0.8203 0.6120 0.0005  1 P 1.54
O 0.8880 0.6797 0.4995  1 P 1.54
O 0.9088 0.2566 0.0582  1 P 1.56
O 0.9418 0.0912 0.7434  1 P 1.56
O 0.9995 0.1797 0.3880  1 P 1.54

Properties
Calculated total energy   -7.5869 eV per atom

=====

No. 6
Density functional theory data (PBE+U) for a relaxed structure of TiNiPO2.

Cell: 3.7017 3.7017 4.4017 Å, 90.00 90.00 90.00°
Closest atoms and distances in Å follow each position.
Fractional coordinates of all 5 atoms:
Ti 0.0000 0.0000 0.0000  4 P 2.62, 8 O 2.88
Ni 0.5000 0.5000 0.5000  4 O 1.85
P 0.5000 0.5000 0.0000  2 Ni 2.20
O 0.0000 0.5000 0.5000  2 Ni 1.85
O 0.5000 0.0000 0.5000  2 Ni 1.85

Properties
Calculated total energy   -5.4727 eV per atom
Energy above the most stable polymorph in this dataset   716 meV per atom

=====

No. 7
Density functional theory data (PBE+U) for a relaxed structure of Ti2NiP2O10.

Cell: 7.4169 7.4402 7.4184 Å, 90.00 119.53 90.00°
Closest atoms and distances in Å follow each position.
Fractional coordinates of all 30 atoms:
Ti 0.2355 0.2224 0.2076  3 O 1.75-1.91
Ti 0.2355 0.2776 0.7076  3 O 1.75-1.91
Ti 0.7645 0.7224 0.2924  3 O 1.75-1.91
Ti 0.7645 0.7776 0.7924  3 O 1.75-1.91
Ni 0.5000 0.0000 0.0000  6 O 2.06-2.08
Ni 0.5000 0.5000 0.5000  6 O 2.06-2.08
P 0.2545 0.6216 0.0056  4 O 1.54-1.56
P 0.2545 0.8784 0.5056  4 O 1.54-1.56
P 0.7455 0.1216 0.4944  4 O 1.54-1.56
P 0.7455 0.3784 0.9944  4 O 1.54-1.56
O 0.0559 0.7336 0.9289  1 P 1.54
O 0.0559 0.7664 0.4289  1 P 1.54
O 0.2391 0.5073 0.8249  1 P 1.54
O 0.2391 0.9927 0.3249  1 P 1.54
O 0.2711 0.1576 0.0006  1 Ti 1.75
O 0.2711 0.3424 0.5006  1 Ti 1.75
O 0.2855 0.0039 0.6864  1 P 1.56
O 0.2855 0.4961 0.1864  1 P 1.56
O 0.4407 0.7484 0.5878  1 P 1.54
O 0.4407 0.7516 0.0878  1 P 1.54
O 0.5593 0.2484 0.9122  1 P 1.54
O 0.5593 0.2516 0.4122  1 P 1.54
O 0.7145 0.5039 0.8136  1 P 1.56
O 0.7145 0.9961 0.3136  1 P 1.56
O 0.7289 0.6576 0.4994  1 Ti 1.75
O 0.7289 0.8424 0.9994  1 Ti 1.75
O 0.7609 0.0073 0.6751  1 P 1.54
O 0.7609 0.4927 0.1751  1 P 1.54
O 0.9441 0.2336 0.5711  1 P 1.54
O 0.9441 0.2664 0.0711  1 P 1.54

Properties
Calculated total energy   -7.6968 eV per atom
Energy above the most stable polymorph in this dataset   0 meV per atom

=====

No. 8
Density functional theory data (PBE+U) for a relaxed structure of Ti3VNi2P6O24.

Cell: 8.5107 8.5107 8.5107 Å, 61.01 61.01 61.01°
Closest atoms and distances in Å follow each position.
Fractional coordinates of all 36 atoms:
Ti 0.0000 0.0000 0.0000  6 O 1.91-2.07
Ti 0.2117 0.2117 0.2117  6 O 1.89-2.04
Ti 0.5023 0.5023 0.5023  6 O 1.88-2.09
V 0.7169 0.7169 0.7169  6 O 2.02-2.11
Ni 0.3555 0.3555 0.3555  6 O 2.16-2.18
Ni 0.8567 0.8567 0.8567  6 O 2.15
P 0.1103 0.3999 0.8099  4 O 1.54-1.56
P 0.3112 0.9039 0.6086  4 O 1.50-1.57
P 0.3999 0.8099 0.1103  4 O 1.54-1.56
P 0.6086 0.3112 0.9039  4 O 1.50-1.57
P 0.8099 0.1103 0.3999  4 O 1.54-1.56
P 0.9039 0.6086 0.3112  4 O 1.50-1.57
O 0.0403 0.2404 0.8561  1 P 1.55
O 0.1014 0.4470 0.2871  1 P 1.57
O 0.1126 0.9130 0.7674  1 P 1.57
O 0.1901 0.3410 0.9663  1 P 1.54
O 0.2404 0.8561 0.0403  1 P 1.55
O 0.2698 0.4116 0.6124  1 P 1.56
O 0.2871 0.1014 0.4470  1 P 1.57
O 0.3410 0.9663 0.1901  1 P 1.54
O 0.3610 0.7390 0.5416  1 P 1.56
O 0.4116 0.6124 0.2698  1 P 1.56
O 0.4470 0.2871 0.1014  1 P 1.57
O 0.4643 0.8707 0.6720  1 P 1.50
O 0.5416 0.3610 0.7390  1 P 1.56
O 0.5949 0.8063 0.9556  1 P 1.54
O 0.6124 0.2698 0.4116  1 P 1.56
O 0.6720 0.4643 0.8707  1 P 1.50
O 0.7390 0.5416 0.3610  1 P 1.56
O 0.7674 0.1126 0.9130  1 P 1.57
O 0.8063 0.9556 0.5949  1 P 1.54
O 0.8561 0.0403 0.2404  1 P 1.55
O 0.8707 0.6720 0.4643  1 P 1.50
O 0.9130 0.7674 0.1126  1 P 1.57
O 0.9556 0.5949 0.8063  1 P 1.54
O 0.9663 0.1901 0.3410  1 P 1.54

Properties
Calculated total energy   -7.5142 eV per atom